# 1
The following is a PBE calculation of a geometry-optimized TiRhO2F structure, from the Alexandria database.

Results
ΔE_f (raw) (meV per atom): -602
Energy (eV per atom): -6.01

Cell lengths 3.9722, 3.9722, 3.9962 Å; angles 90.00, 90.00, 90.00 degrees
Closest atoms and distances in Å follow each position.
Sites, in units of the cell vectors:
Ti: 0.5000 0.5000 0.5000  4 F 2.81, 8 O 2.82
O: 0.5000 0.0000 0.0000  2 Rh 1.99
O: 0.0000 0.5000 0.0000  2 Rh 1.99
F: 0.0000 0.0000 0.5000  2 Rh 2.00
Rh: 0.0000 0.0000 0.0000  4 O 1.99, 2 F 2.00

# 2
The following is a PBE calculation of a geometry-optimized TaRe2Ir structure, from the Alexandria database.

Results
Energy of formation (eV/atom): -0.13
Relative energy among the computed polymorphs (eV per atom): 0.085
Energy (eV per atom): -11.53

Cell lengths 4.8353, 4.8353, 4.8890 Å; angles 80.90, 80.90, 33.61 degrees
Closest atoms and distances in Å follow each position.
Sites, in units of the cell vectors:
Re: 0.2546 0.2546 0.2297  4 Ir 2.73-2.91, 5 Re 2.73-2.80, 3 Ta 2.81-2.90
Re: 0.0029 0.0029 0.0070  5 Re 2.73-2.80, 3 Ir 2.76-2.86, 4 Ta 2.82
Ir: 0.7456 0.7456 0.7542  7 Re 2.73-2.91, 3 Ta 2.76-2.81, 2 Ir 2.80
Ta: 0.4969 0.4969 0.5092  3 Ir 2.76-2.81, 2 Ta 2.80, 7 Re 2.81-2.90